1.
Computed, not measured: a geometry-optimized CoIrIO2 structure at the GGA+U level of DFT.

Summary:
E above lowest polymorph in kJ per mole of atoms: 0.0
Spin magnetization in Bohr magnetons per cell: 2.35
Mass density in g cm⁻³: 5.79
VASP energy in eV for the cell shown: -25.49

```
data_CoIrIO2
_chemical_formula_sum 'Co1 Ir1 I1 O2'
_space_group_name_H-M_alt 'P 4/m m m'
_space_group_IT_number 123
_space_group_name_Hall '-P 4 2'
_cell_length_a 3.753
_cell_length_b 3.753
_cell_length_c 8.348
_cell_angle_alpha 90.00
_cell_angle_beta 90.00
_cell_angle_gamma 90.00
loop_
_atom_site_label
_atom_site_type_symbol
_atom_site_fract_x
_atom_site_fract_y
_atom_site_fract_z
Co1 Co 0.000 0.000 0.000
Ir1 Ir 0.500 0.500 0.500
I1 I 0.500 0.500 0.000
O1 O 0.000 0.500 0.500
```

=====

2.
Computed, not measured: a geometry-optimized CoIrIO2 structure at the GGA+U level of DFT.

Summary:
E above lowest polymorph in kJ per mole of atoms: 48.0
Spin magnetization in Bohr magnetons per cell: 3.86
Mass density in g cm⁻³: 7.78
VASP energy in eV for the cell shown: -23.00

```
data_CoIrIO2
_chemical_formula_sum 'Co1 Ir1 I1 O2'
_space_group_name_H-M_alt 'P 4/m m m'
_space_group_IT_number 123
_space_group_name_Hall '-P 4 2'
_cell_length_a 3.673
_cell_length_b 3.673
_cell_length_c 6.486
_cell_angle_alpha 90.00
_cell_angle_beta 90.00
_cell_angle_gamma 90.00
loop_
_atom_site_label
_atom_site_type_symbol
_atom_site_fract_x
_atom_site_fract_y
_atom_site_fract_z
Co1 Co 0.000 0.000 0.000
Ir1 Ir 0.500 0.500 0.500
I1 I 0.000 0.000 0.500
O1 O 0.000 0.500 0.000
```

=====

> Number 1 is which compound?

CoIrIO2

=====

> Which value of mass density does entry 2 give?

7.78 g cm⁻³

=====

Please write out number 1 again, unchanged.
Computed, not measured: a geometry-optimized CoIrIO2 structure at the GGA+U level of DFT.

Summary:
E above lowest polymorph in kJ per mole of atoms: 0.0
Spin magnetization in Bohr magnetons per cell: 2.35
Mass density in g cm⁻³: 5.79
VASP energy in eV for the cell shown: -25.49

```
data_CoIrIO2
_chemical_formula_sum 'Co1 Ir1 I1 O2'
_space_group_name_H-M_alt 'P 4/m m m'
_space_group_IT_number 123
_space_group_name_Hall '-P 4 2'
_cell_length_a 3.753
_cell_length_b 3.753
_cell_length_c 8.348
_cell_angle_alpha 90.00
_cell_angle_beta 90.00
_cell_angle_gamma 90.00
loop_
_atom_site_label
_atom_site_type_symbol
_atom_site_fract_x
_atom_site_fract_y
_atom_site_fract_z
Co1 Co 0.000 0.000 0.000
Ir1 Ir 0.500 0.500 0.500
I1 I 0.500 0.500 0.000
O1 O 0.000 0.500 0.500
```